Entry 1:
Below is a relaxed structure of Be2CoAu, with properties calculated at the PBE level.

a b c (Å): 3.804 3.804 2.991
angles (deg): 90.00 90.00 90.00
Space group P4/mmm (No. 123)
Asymmetric unit:
1 Be 0.000 0.500 0.000 [2 per cell]
2 Co 0.000 0.000 0.500 [1 per cell]
3 Au 0.500 0.500 0.500 [1 per cell]

Summary:
total magnetic moment	0.13	μB/f.u.
DFT formation energy	-178	meV/atom
DFT total energy	-4.637	eV/atom

Entry 2:
Below is a relaxed structure of CoAgMo2, with properties calculated at the PBE level.

a b c (Å): 2.711 3.951 5.570
angles (deg): 90.00 90.31 90.00
Space group P2/m (No. 10)
Asymmetric unit:
1 Co 0.000 0.000 0.000 [1 per cell]
2 Ag 0.000 0.000 0.500 [1 per cell]
3 Mo 0.498 0.500 0.221 [2 per cell]

Summary:
total magnetic moment	0.91	μB/f.u.
DFT formation energy	367	meV/atom
DFT total energy	-7.538	eV/atom